VASP calculation (PBE) on a relaxed structure of Al6Cr.

## Properties
Space-group type   Cmcm (63)
E_tot   -4.664 eV/atom
DOS at the Fermi energy   8.23 states/eV per cell

Cell: 5.025 5.025 8.899 Å, 90.00 90.00 98.33°
Each line ends with the local moment (μB).
Atoms (fractional coordinates):
Al (0.328, 0.672, 0.000)  0.00
Al (0.672, 0.328, 0.500)  0.00
Al (0.672, 0.328, 0.000)  0.00
Al (0.328, 0.672, 0.500)  0.00
Al (0.136, 0.136, 0.899)  0.00
Al (0.864, 0.864, 0.399)  0.00
Al (0.136, 0.136, 0.601)  0.00
Al (0.864, 0.864, 0.101)  0.00
Al (0.601, 0.967, 0.750)  -0.01
Al (0.399, 0.033, 0.250)  -0.01
Al (0.967, 0.601, 0.750)  -0.01
Al (0.033, 0.399, 0.250)  -0.01
Cr (0.454, 0.454, 0.750)  0.58
Cr (0.546, 0.546, 0.250)  0.58